Entry from the Alexandria database: a geometry-optimized Tb5Y6Tm structure (PBE).

Computed properties:
ΔE_f (meV/atom): 20
Size of the total moment (μB per atom): 0.0000

Cell: 6.168 10.671 11.797 Å, 90.00 99.97 90.00°
Space group C2/m (No. 12)
Symmetry-distinct sites (fractional):
Tb 0.000 0.000 0.000 x2
Tb 0.000 0.167 0.500 x4
Tb 0.000 0.333 0.000 x4
Y 0.249 0.334 0.749 x8
Y 0.250 0.000 0.750 x4
Tm 0.000 0.500 0.500 x2